[1]
Cu2SiTe: relaxed, PBE.

abc: 5.444 5.444 5.444
angles: 138.98 138.98 59.40
Fractional coordinates of all 4 atoms:
Cu 0.000 0.000 0.000
Cu 0.250 0.750 0.500
Si 0.500 0.500 0.000
Te 0.750 0.250 0.500

The calculation puts the magnetic moment at 0.00 μB/f.u. The value obtained for the relative energy among the computed polymorphs is 360 meV/atom. The uncorrected formation energy is 424 meV per atom.

---

[2]
GeS2NO: relaxed, PBE.

abc: 4.121 4.121 4.044
angles: 90.00 90.00 90.00
Fractional coordinates of all 5 atoms:
N 0.000 0.000 0.500
S 0.500 0.000 0.000
S 0.000 0.500 0.000
O 0.000 0.000 0.000
Ge 0.500 0.500 0.500

The calculation puts the magnetic moment at 0.00 μB/f.u. The value obtained for the relative energy among the computed polymorphs is 0 meV/atom. The uncorrected formation energy is 1352 meV per atom.

---

[3]
Na2InHg: relaxed, PBE.

abc: 5.304 5.304 5.304
angles: 60.00 60.00 60.00
Fractional coordinates of all 4 atoms:
Na 0.750 0.750 0.750
Na 0.250 0.250 0.250
In 0.000 0.000 0.000
Hg 0.500 0.500 0.500

The calculation puts the magnetic moment at 0.00 μB/f.u. The formation energy comes out at -0.5 eV per formula unit.

---

[4]
LiAsPt2: relaxed, PBE.

abc: 8.945 8.945 8.945
angles: 18.35 18.35 18.35
Fractional coordinates of all 4 atoms:
Pt 0.002 0.002 0.002
Pt 0.498 0.498 0.498
Li 0.750 0.750 0.750
As 0.250 0.250 0.250

The calculation puts the magnetic moment at 0.00 μB/f.u. The formation energy comes out at -1.0 eV per formula unit.

---

> Which formula does entry 4 have?

LiAsPt2